The following is a PBE-GGA calculation of an optimized crystal structure of MnHPt2Au, from the Alexandria database.

Computed properties:
- DFT total energy (Ry per atom) = -0.419
- calculated volume (Å³/atom) = 13.28

Lattice parameters (Å, degrees): 4.014 4.014 4.122 90.00 90.00 90.00
Space group P4/mmm (No. 123)
Inequivalent atoms, fractional coordinates:
Mn: 0.000 0.000 0.000
H: 0.000 0.000 0.500
Pt: 0.000 0.500 0.500
Au: 0.500 0.500 0.000

---

The following is a PBE-GGA calculation of an optimized crystal structure of As2IrSe, from the Alexandria database.

Computed properties:
- E_form (uncorrected) (eV/atom) = 0.48
- calculated volume (Å³/atom) = 17.26

Lattice parameters (Å, degrees): 4.594 4.594 6.542 90.00 90.00 90.00
Space group I-4m2 (No. 119)
Inequivalent atoms, fractional coordinates:
As: 0.000 0.000 0.000
As: 0.000 0.500 0.250
Ir: 0.000 0.500 0.750
Se: 0.000 0.000 0.500

---

The following is a PBE-GGA calculation of an optimized crystal structure of CdPdN3, from the Alexandria database.

Computed properties:
- E_form (uncorrected) (eV/atom) = 1.84
- calculated volume (Å³/atom) = 12.95

Lattice parameters (Å, degrees): 4.016 4.016 4.016 90.00 90.00 90.00
Space group Pm-3m (No. 221)
Inequivalent atoms, fractional coordinates:
Cd: 0.000 0.000 0.000
Pd: 0.500 0.500 0.500
N: 0.000 0.500 0.500

---

The highest calculated volume belongs to which entry?
As2IrSe